DFT (PBE) results for a relaxed LaFeMo2 crystal.

Structure (CIF):
```
data_LaFeMo2
_chemical_formula_sum 'La1 Fe1 Mo2'
_cell_length_a 4.9796
_cell_length_b 4.9796
_cell_length_c 5.3188
_cell_angle_alpha 78.22
_cell_angle_beta 78.22
_cell_angle_gamma 37.36
_symmetry_space_group_name_H-M 'P 1'
_symmetry_Int_Tables_number 1
loop_
_symmetry_equiv_pos_as_xyz
'x,y,z'
loop_
_atom_site_label
_atom_site_fract_x
_atom_site_fract_y
_atom_site_fract_z
Mo1 0.4603 0.4603 0.5978
Mo2 0.0397 0.0397 0.9022
Fe1 0.7500 0.7500 0.7500
La1 0.2500 0.2500 0.2500
```

Values from the calculation:
Spin magnetization = 1.44 μB per formula unit
Energy of formation = 0.496 eV/atom
Space group = No. 12
E_tot = -8.267 eV per atom
ΔE to the lowest computed polymorph = 17.9 kJ/mol of formula units